# 1
DyNpCo2 | GGA-PBE | relaxed

Geometry as POSCAR:
```
DyNpCo2
1.0
3.6620 0.0000 0.0000
1.8310 3.1714 0.0000
1.8310 1.0571 6.5876
Co Dy Np
2 1 1
direct
0.7388 0.7388 0.7837
0.2612 0.2612 0.2163
0.5000 0.5000 0.5000
0.0000 0.0000 0.0000
```

Summary:
As for the space group: No. 166. The value obtained for the formation energy is 0.43 eV/f.u. The value obtained for the magnetization is 2.2 Bohr magnetons per cell. The calculation puts the volume at 19.13 Å³ per atom. For the total energy, the calculation gives -7.830 eV per atom. The value obtained for the density of states at the Fermi level is 7.1 states/eV/f.u. The value obtained for the offset from the most stable computed form is 0.21 eV per formula unit.

# 2
DyNpCo2 | GGA-PBE | relaxed

Geometry as POSCAR:
```
DyNpCo2
1.0
-0.0946 1.9282 2.5517
-0.6849 -3.7549 2.8121
4.6891 -0.4631 0.5237
Co Dy Np
2 1 1
direct
0.0000 0.0000 0.5000
0.0000 0.5000 0.0000
0.5000 0.0000 0.0000
0.5000 0.5000 0.5000
```

Summary:
As for the space group: No. 123. The value obtained for the formation energy is 0.22 eV/f.u. The value obtained for the magnetization is 2.5 Bohr magnetons per cell. The calculation puts the volume at 17.98 Å³ per atom. For the total energy, the calculation gives -7.883 eV per atom. The value obtained for the density of states at the Fermi level is 6.3 states/eV/f.u. The value obtained for the offset from the most stable computed form is 0.00 eV per formula unit.

# 3
DyNpCo4 | GGA-PBE | relaxed

Geometry as POSCAR:
```
DyNpCo4
1.0
5.0164 0.0000 0.0000
2.5082 4.3444 0.0000
2.5082 1.4481 4.0959
Co Np Dy
4 1 1
direct
0.6255 0.1235 0.6255
0.6255 0.6255 0.1235
0.6255 0.6255 0.6255
0.1235 0.6255 0.6255
0.0000 0.0000 0.0000
0.2500 0.2500 0.2500
```

Summary:
As for the space group: No. 216. The value obtained for the formation energy is -0.67 eV/f.u. The value obtained for the magnetization is 0.1 Bohr magnetons per cell. The calculation puts the volume at 14.88 Å³ per atom. For the total energy, the calculation gives -7.773 eV per atom. The value obtained for the density of states at the Fermi level is 7.8 states/eV/f.u.

# 4
Dy2NpCo | GGA-PBE | relaxed

Geometry as POSCAR:
```
Dy2NpCo
1.0
3.4460 0.0000 0.0000
1.7230 2.9843 0.0000
1.7230 0.9948 10.2245
Dy Np Co
2 1 1
direct
0.1104 0.1104 0.6689
0.8896 0.8896 0.3311
0.0000 0.0000 0.0000
0.5000 0.5000 0.5000
```

Summary:
As for the space group: No. 166. The value obtained for the formation energy is 1.91 eV/f.u. The value obtained for the magnetization is 5.0 Bohr magnetons per cell. The calculation puts the volume at 26.29 Å³ per atom. For the total energy, the calculation gives -6.836 eV per atom. The value obtained for the density of states at the Fermi level is 9.0 states/eV/f.u.